(1)
Density functional theory data (PBE) for a relaxed NdU4 crystal. Values from VASP.

Computed properties:
The total energy is -8.108 eV per atom. As for the crystal system: cubic. For the total moment, the calculation gives 11.4 μB/f.u. As for the space group: Pm-3m, No. 221. The density of states at the Fermi level is 26.50 states/eV/f.u.

The structure in Quantum ESPRESSO input format:
```
&SYSTEM
  ibrav = 0, nat = 5, ntyp = 2
/
ATOMIC_SPECIES
U 238.03 U.upf
Nd 144.24 Nd.upf
ATOMIC_POSITIONS angstrom
U -2.4608 2.2392 -1.8432
Nd -4.5101 0.9600 -0.6611
U 0.0000 0.0000 0.0000
U -3.3335 -1.4026 -1.1778
U -3.2260 1.0834 1.6988
CELL_PARAMETERS angstrom
-2.3533 4.7251 1.0334
-2.5682 -0.2468 -4.7198
-4.0987 -2.5583 2.3641
```

(2)
Density functional theory data (PBE) for a relaxed Tm2MgPaS6 crystal. Values from VASP.

Computed properties:
As for the crystal system: tetragonal. For the total moment, the calculation gives 1.0 μB/f.u. As for the space group: P4mm, No. 99. The density of states at the Fermi level is 5.48 states/eV/f.u. The value obtained for the formation energy without anion corrections is -13.6 eV/f.u.

The structure in Quantum ESPRESSO input format:
```
&SYSTEM
  ibrav = 0, nat = 10, ntyp = 4
/
ATOMIC_SPECIES
Mg 24.30 Mg.upf
S 32.06 S.upf
Tm 168.93 Tm.upf
Pa 231.04 Pa.upf
ATOMIC_POSITIONS angstrom
Mg -0.4850 -1.1418 3.3277
S -0.1612 -0.3795 1.1060
S -1.8975 -4.2137 -0.6066
Tm -3.8045 -3.0226 5.0942
S -0.2759 -6.3868 2.9116
S -4.5498 -4.4673 2.9474
Tm 0.3388 -4.8834 5.0595
S -3.3179 -7.4269 2.1113
S -1.5078 -3.4272 3.7476
Pa -2.2540 -5.0531 1.8397
CELL_PARAMETERS angstrom
-0.8735 -2.0568 5.9941
-5.8981 -2.0168 -1.5516
2.3886 -5.7384 -1.6209
```

(3)
Density functional theory data (PBE) for a relaxed AgSe2Cl crystal. Values from VASP.

Computed properties:
As for the crystal system: cubic. For the total moment, the calculation gives 0.0 μB/f.u. The value obtained for the energy above the most stable polymorph in this dataset is 0.6869 eV per atom. As for the space group: Fm-3m, No. 225. The density of states at the Fermi level is 3.12 states/eV/f.u. The value obtained for the formation energy without anion corrections is 2.0 eV/f.u.

The structure in Quantum ESPRESSO input format:
```
&SYSTEM
  ibrav = 0, nat = 4, ntyp = 3
/
ATOMIC_SPECIES
Ag 107.87 Ag.upf
Se 78.96 Se.upf
Cl 35.45 Cl.upf
ATOMIC_POSITIONS angstrom
Ag -5.8455 0.5672 0.8146
Se -8.7682 0.8508 1.2219
Cl 0.0000 0.0000 0.0000
Se -2.9227 0.2836 0.4073
CELL_PARAMETERS angstrom
-3.6938 -1.0046 2.9636
-3.6335 3.1603 0.4966
-4.3636 -1.0213 -1.8309
```

Q: Number 3 is which compound?
A: AgSe2Cl

Q: Among the records above, which one has the highest total moment?
A: NdU4

Q: total moment of number 2 (Tm2MgPaS6)?
A: 1.0 μB/f.u.